# 1
# HfTi5Ga8

Crystalline HfTi5Ga8 at its relaxed geometry (PBE-GGA, the Alexandria database).

The structure in POSCAR format:
```
HfTi5Ga8
1.0
6.7759 -0.0755 0.1297
-2.3637 6.3507 -0.1297
-2.0485 -3.2485 5.5846
Ga Hf Ti
8 1 5
Cartesian
0.9202 0.4983 2.2739 Ga
3.7676 0.5455 2.0560 Ga
-1.0383 4.2736 0.3107 Ga
1.5171 -0.4745 5.1721 Ga
-2.1595 3.0126 2.6152 Ga
-0.0394 3.1406 4.8935 Ga
1.6023 2.9700 1.3258 Ga
4.8850 -1.8588 3.6909 Ga
-1.0242 0.7202 4.1560 Hf
2.3637 -1.6620 2.8571 Ti
-0.6994 1.6523 0.5315 Ti
3.4454 5.1844 1.1735 Ti
-0.2570 -2.7375 5.4079 Ti
2.2384 1.9544 4.0562 Ti
```

Results
The symmetry is No. 82. The total energy is -5.549 eV per atom.



# 2
# NpCuAs3

Crystalline NpCuAs3 at its relaxed geometry (PBE-GGA, the Alexandria database).

The structure in POSCAR format:
```
NpCuAs3
1.0
-3.9235 2.6496 2.9927
-2.5532 -4.9489 1.0341
6.5825 -1.3441 9.8200
Np Cu As
4 4 12
Cartesian
0.3486 -1.3805 9.5410 Np
-3.4444 -3.3412 6.3042 Np
3.5502 -0.3022 7.5425 Np
-0.2428 -2.2628 4.3057 Np
-1.9799 -0.0391 2.6801 Cu
2.0857 -3.6043 11.1667 Cu
-0.0181 -1.3639 1.1838 Cu
4.0474 -4.9291 9.6703 Cu
-2.1008 -2.5038 2.0832 As
2.6424 -1.9071 5.1528 As
-4.7232 -2.4596 3.8471 As
2.6813 -2.8614 8.6692 As
0.6247 0.2936 3.1796 As
1.3869 -4.3858 5.7013 As
-0.5189 -3.9369 10.6671 As
-0.5749 -3.0610 7.1976 As
2.2066 -1.1395 11.7636 As
-2.5755 -0.7819 5.1776 As
4.8290 -1.1837 9.9997 As
0.6807 -0.5823 6.6491 As
```

Results
The symmetry is No. 57. The total energy is -6.464 eV per atom.



# 3
# ZnCu2Se

Crystalline ZnCu2Se at its relaxed geometry (PBE-GGA, the Alexandria database).

The structure in POSCAR format:
```
ZnCu2Se
1.0
-2.1152 -1.8257 2.6082
-0.1359 -3.3093 -2.4266
3.1571 -1.3264 1.6320
Cu Zn Se
2 1 1
Cartesian
-1.1256 -2.5675 0.0908 Cu
0.0000 0.0000 0.0000 Cu
1.5106 -2.3178 -0.3973 Zn
0.5210 -1.5760 2.1201 Se
```

Results
The value obtained for the energy above the most stable polymorph in this dataset is 86 meV/atom. The symmetry is No. 47. As for the uncorrected formation energy: 0.4 eV per formula unit.



# 4
# Al3CuH

Crystalline Al3CuH at its relaxed geometry (PBE-GGA, the Alexandria database).

The structure in POSCAR format:
```
Al3CuH
1.0
-1.7858 3.0981 2.7802
-3.2765 -2.9121 1.1405
2.5675 -1.5615 3.3892
Al H Cu
3 1 1
Cartesian
-1.6383 -1.4560 0.5702 Al
-0.8929 1.5490 1.3901 Al
1.2837 -0.7808 1.6946 Al
-1.2474 -0.6877 3.6549 H
0.0000 0.0000 0.0000 Cu
```

Results
The value obtained for the energy above the most stable polymorph in this dataset is 426 meV/atom. The symmetry is No. 221.



# 5
# UTc2B6

Crystalline UTc2B6 at its relaxed geometry (PBE-GGA, the Alexandria database).

The structure in POSCAR format:
```
UTc2B6
1.0
2.9793 0.0000 0.9102
1.0615 5.2496 1.8565
-0.1025 -0.1037 5.6666
Tc U B
2 1 6
Cartesian
1.1696 0.8152 1.5027 Tc
2.7687 4.3307 6.9306 Tc
1.9692 2.5729 4.2167 U
1.1582 2.9505 1.5400 B
3.3696 4.9064 4.9637 B
0.0853 0.7601 5.0518 B
0.5687 0.2394 3.4696 B
2.7801 2.1954 6.8933 B
0.8737 4.3858 2.4713 B
```

Results
The symmetry is No. 71. The total energy is -8.452 eV per atom.



# 6
# Ac3In3Ga2

Crystalline Ac3In3Ga2 at its relaxed geometry (PBE-GGA, the Alexandria database).

The structure in POSCAR format:
```
Ac3In3Ga2
1.0
-1.0097 3.7577 2.5488
-1.9187 -5.5077 3.1156
14.8980 -1.0095 7.3900
Ga Ac In
4 6 6
Cartesian
0.5915 -1.8031 2.8926 Ga
11.3782 -0.9564 10.1617 Ga
4.6046 -2.0750 4.8833 Ga
7.3651 -0.6845 8.1711 Ga
8.7780 -1.0218 4.9838 Ac
3.1917 -1.7377 8.0706 Ac
13.0234 -1.3095 7.0897 Ac
-1.0537 -1.4500 5.9647 Ac
2.4542 0.4803 4.5085 Ac
9.5155 -3.2398 8.5459 Ac
1.8832 -3.0094 5.1828 In
6.3053 -3.0827 7.0426 In
-0.6788 0.7530 2.8653 In
12.6485 -3.5126 10.1891 In
10.0865 0.2499 7.8715 In
5.6644 0.3232 6.0118 In
```

Results
The value obtained for the energy above the most stable polymorph in this dataset is 0 meV/atom. The symmetry is No. 63.



# 7
# NpUNiRu

Crystalline NpUNiRu at its relaxed geometry (PBE-GGA, the Alexandria database).

The structure in POSCAR format:
```
NpUNiRu
1.0
4.5114 0.0000 0.0000
2.2557 3.9070 0.0000
2.2557 1.3023 3.6835
U Ni Np Ru
1 1 1 1
Cartesian
0.0000 0.0000 0.0000 U
4.5114 2.6046 1.8418 Ni
2.2557 1.3023 0.9209 Np
6.7671 3.9070 2.7626 Ru
```

Results
The symmetry is No. 216. The total energy is -10.101 eV per atom.



# 8
# Cd4Sn2Pd

Crystalline Cd4Sn2Pd at its relaxed geometry (PBE-GGA, the Alexandria database).

The structure in POSCAR format:
```
Cd4Sn2Pd
1.0
-2.0355 4.6485 -1.2826
-0.9739 -1.7598 -4.8324
-8.0434 -0.8269 -0.9125
Cd Sn Pd
4 2 1
Cartesian
-1.0177 2.3243 -0.6413 Cd
-5.4036 2.0571 -5.3296 Cd
-5.6493 0.0047 -1.6979 Cd
-0.4870 -0.8799 -2.4162 Cd
-3.0549 0.9059 -2.5490 Sn
-7.9980 1.1559 -4.4785 Sn
0.0000 0.0000 0.0000 Pd
```

Results
The symmetry is No. 139. The total energy is -2.278 eV per atom.



# 9
# ScFeHg2

Crystalline ScFeHg2 at its relaxed geometry (PBE-GGA, the Alexandria database).

The structure in POSCAR format:
```
ScFeHg2
1.0
-2.6793 1.9775 0.6820
-1.5491 -1.1310 -2.8063
-2.7802 -4.9897 3.5458
Hg Sc Fe
2 1 1
Cartesian
-2.8435 -0.8857 -0.1320 Hg
-2.6925 -4.8324 3.4340 Hg
-1.4796 -2.6556 1.8871 Sc
-4.1631 -3.2542 1.5511 Fe
```

Results
The symmetry is No. 99. The total energy is -3.812 eV per atom.